[1]
An optimized crystal structure of CsK4Np3O12, computed with GGA-PBE.

Summary:
Its space group is Im-3m (229). The crystal system is cubic. Its uncorrected formation energy is -2.41 eV per atom. The density is 5.5 Mg/m³. The magnetic moment comes out at 2.0 μB per formula unit.

a b c (Å): 7.7622 7.7622 7.7622
angles (deg): 109.47 109.47 109.47
Element x y z (fractional)
Cs (0.0000, 0.0000, 0.0000)
K (0.0000, 0.0000, 0.5000)
K (0.0000, 0.5000, 0.0000)
K (0.5000, 0.0000, 0.0000)
K (0.5000, 0.5000, 0.5000)
Np (0.0000, 0.5000, 0.5000)
Np (0.5000, 0.0000, 0.5000)
Np (0.5000, 0.5000, 0.0000)
O (0.0000, 0.2941, 0.2941)
O (0.0000, 0.7059, 0.7059)
O (0.2500, 0.5000, 0.7500)
O (0.2500, 0.7500, 0.5000)
O (0.2941, 0.0000, 0.2941)
O (0.2941, 0.2941, 0.0000)
O (0.5000, 0.2500, 0.7500)
O (0.5000, 0.7500, 0.2500)
O (0.7059, 0.0000, 0.7059)
O (0.7059, 0.7059, 0.0000)
O (0.7500, 0.2500, 0.5000)
O (0.7500, 0.5000, 0.2500)

=====

[2]
An optimized crystal structure of BaAlTe4Au2, computed with GGA-PBE.

Summary:
Its space group is I222 (23). The crystal system is orthorhombic. Its uncorrected formation energy is -0.60 eV per atom. The density is 6.9 Mg/m³. The magnetic moment comes out at 0.0 μB per formula unit.

a b c (Å): 6.9832 6.9832 6.9832
angles (deg): 114.49 113.11 101.13
Element x y z (fractional)
Ba (0.0000, 0.0000, 0.0000)
Al (0.5000, 0.5000, 0.0000)
Te (0.1316, 0.1270, 0.5957)
Te (0.4687, 0.8730, 0.0046)
Te (0.5313, 0.5359, 0.4043)
Te (0.8684, 0.4641, 0.9954)
Au (0.3336, 0.8336, 0.5000)
Au (0.6664, 0.1664, 0.5000)

=====

[3]
An optimized crystal structure of Hf2BeFeBr, computed with GGA-PBE.

Summary:
Its space group is P4/mmm (123). The crystal system is tetragonal. Its uncorrected formation energy is 1.10 eV per atom. The density is 9.1 Mg/m³. The magnetic moment comes out at 0.1 μB per formula unit.

a b c (Å): 4.7851 4.7851 3.9880
angles (deg): 90.00 90.00 90.00
Element x y z (fractional)
Hf (0.0000, 0.5000, 0.0000)
Hf (0.5000, 0.0000, 0.0000)
Be (0.0000, 0.0000, 0.0000)
Fe (0.5000, 0.5000, 0.5000)
Br (0.0000, 0.0000, 0.5000)

=====

Question: Which formula does entry 3 have?
Answer: Hf2BeFeBr

=====

Question: The lowest uncorrected formation energy belongs to which entry?
Answer: CsK4Np3O12

=====

Question: The lowest density belongs to which entry?
Answer: CsK4Np3O12